CdHgPb2: optimized geometry, PBE.

```
data_CdHgPb2
_chemical_formula_sum 'Cd2 Hg2 Pb4'
_symmetry_space_group_name_H-M 'I 4/m m m'
_symmetry_Int_Tables_number 139
_symmetry_space_group_name_Hall '-I 4 2'
_cell_length_a 4.963
_cell_length_b 4.963
_cell_length_c 9.034
_cell_angle_alpha 90.00
_cell_angle_beta 90.00
_cell_angle_gamma 90.00
loop_
_atom_site_label
_atom_site_type_symbol
_atom_site_fract_x
_atom_site_fract_y
_atom_site_fract_z
Cd1 Cd 0.000 0.000 0.000
Hg1 Hg 0.000 0.000 0.500
Pb1 Pb 0.000 0.500 0.250
```

Results
The total energy comes out at -2.115 eV per atom. For the size of the total moment, the calculation gives 0.000 μB per formula unit. The value obtained for the formation energy is 0.04 eV/atom.

Cd4Hg12Pb: optimized geometry, PBE.

```
data_Cd4Hg12Pb
_chemical_formula_sum 'Cd12 Hg36 Pb3'
_symmetry_space_group_name_H-M 'R -3'
_symmetry_Int_Tables_number 148
_symmetry_space_group_name_Hall '-R 3'
_cell_length_a 14.2408
_cell_length_b 14.2408
_cell_length_c 8.7014
_cell_angle_alpha 90.00
_cell_angle_beta 90.00
_cell_angle_gamma 120.00
loop_
_atom_site_label
_atom_site_type_symbol
_atom_site_fract_x
_atom_site_fract_y
_atom_site_fract_z
Cd1 Cd 0.0000 0.0000 0.0000
Cd2 Cd 0.0000 0.5000 0.0000
Hg1 Hg 0.0181 0.1838 0.8317
Hg2 Hg 0.0511 0.5996 0.3015
Pb1 Pb 0.0000 0.0000 0.5000
```

Results
The total energy comes out at -0.543 eV per atom. For the size of the total moment, the calculation gives 0.000 μB per formula unit. The value obtained for the formation energy is 0.10 eV/atom.

CdHgPb2: optimized geometry, PBE.

```
data_CdHgPb2
_chemical_formula_sum 'Cd2 Hg2 Pb4'
_symmetry_space_group_name_H-M 'P 1 21/m 1'
_symmetry_Int_Tables_number 11
_cell_length_a 6.685
_cell_length_b 5.295
_cell_length_c 6.735
_cell_angle_alpha 90.00
_cell_angle_beta 108.78
_cell_angle_gamma 90.00
loop_
_symmetry_equiv_pos_as_xyz
'x,y,z'
'-x,-y,-z'
'-x,y+1/2,-z'
'x,-y+1/2,z'
loop_
_atom_site_label
_atom_site_type_symbol
_atom_site_fract_x
_atom_site_fract_y
_atom_site_fract_z
Cd1 Cd 0.124 0.250 0.282
Hg1 Hg 0.124 0.250 0.779
Pb1 Pb 0.359 0.750 0.074
Pb2 Pb 0.365 0.750 0.579
```

Results
The total energy comes out at -2.128 eV per atom. For the size of the total moment, the calculation gives 0.000 μB per formula unit. The value obtained for the formation energy is 0.03 eV/atom.

Cd3Hg2Pb2: optimized geometry, PBE.

```
data_Cd3Hg2Pb2
_chemical_formula_sum 'Cd6 Hg4 Pb4'
_symmetry_space_group_name_H-M 'C 1 2/m 1'
_symmetry_Int_Tables_number 12
_cell_length_a 16.234
_cell_length_b 3.586
_cell_length_c 7.126
_cell_angle_alpha 90.00
_cell_angle_beta 113.24
_cell_angle_gamma 90.00
loop_
_symmetry_equiv_pos_as_xyz
'x,y,z'
'-x,-y,-z'
'-x,y,-z'
'x,-y,z'
'x+1/2,y+1/2,z'
'-x+1/2,-y+1/2,-z'
'-x+1/2,y+1/2,-z'
'x+1/2,-y+1/2,z'
loop_
_atom_site_label
_atom_site_type_symbol
_atom_site_fract_x
_atom_site_fract_y
_atom_site_fract_z
Cd1 Cd 0.000 0.000 0.000
Cd2 Cd 0.220 0.000 0.296
Hg1 Hg 0.150 0.000 0.841
Pb1 Pb 0.072 0.500 0.397
```

Results
The total energy comes out at -1.493 eV per atom. For the size of the total moment, the calculation gives 0.000 μB per formula unit. The value obtained for the formation energy is 0.04 eV/atom.

CdHg2Pb8: optimized geometry, PBE.

```
data_CdHg2Pb8
_chemical_formula_sum 'Cd2 Hg4 Pb16'
_symmetry_space_group_name_H-M 'C 1 2/m 1'
_symmetry_Int_Tables_number 12
_cell_length_a 14.984
_cell_length_b 8.086
_cell_length_c 6.036
_cell_angle_alpha 90.00
_cell_angle_beta 105.94
_cell_angle_gamma 90.00
loop_
_symmetry_equiv_pos_as_xyz
'x,y,z'
'-x,-y,-z'
'-x,y,-z'
'x,-y,z'
'x+1/2,y+1/2,z'
'-x+1/2,-y+1/2,-z'
'-x+1/2,y+1/2,-z'
'x+1/2,-y+1/2,z'
loop_
_atom_site_label
_atom_site_type_symbol
_atom_site_fract_x
_atom_site_fract_y
_atom_site_fract_z
Cd1 Cd 0.000 0.000 0.000
Hg1 Hg 0.135 0.000 0.471
Pb1 Pb 0.066 0.295 0.774
Pb2 Pb 0.139 0.500 0.348
Pb3 Pb 0.233 0.000 0.047
```

Results
The total energy comes out at -2.736 eV per atom. For the size of the total moment, the calculation gives 0.000 μB per formula unit. The value obtained for the formation energy is 0.10 eV/atom.

Cd3Hg8Pb2: optimized geometry, PBE.

```
data_Cd3Hg8Pb2
_chemical_formula_sum 'Cd3 Hg8 Pb2'
_symmetry_space_group_name_H-M 'P 1 2/m 1'
_symmetry_Int_Tables_number 10
_cell_length_a 10.582
_cell_length_b 3.292
_cell_length_c 10.652
_cell_angle_alpha 90.00
_cell_angle_beta 109.68
_cell_angle_gamma 90.00
loop_
_symmetry_equiv_pos_as_xyz
'x,y,z'
'-x,-y,-z'
'-x,y,-z'
'x,-y,z'
loop_
_atom_site_label
_atom_site_type_symbol
_atom_site_fract_x
_atom_site_fract_y
_atom_site_fract_z
Cd1 Cd 0.000 0.000 0.000
Cd2 Cd 0.236 0.500 0.343
Hg1 Hg 0.063 0.500 0.781
Hg2 Hg 0.152 0.000 0.549
Hg3 Hg 0.305 0.000 0.129
Hg4 Hg 0.456 0.500 0.626
Pb1 Pb 0.360 0.000 0.859
```

Results
The total energy comes out at -0.930 eV per atom. For the size of the total moment, the calculation gives 0.000 μB per formula unit. The value obtained for the formation energy is 0.04 eV/atom.